Record 1
Dy8Ho3Er: optimized geometry, GGA-PBE.

a = 9.347 Å, b = 9.347 Å, c = 9.347 Å
α = 131.81°, β = 131.81°, γ = 70.53°
Sites, in units of the cell vectors:
1 Dy 0.125 0.125 0.500
2 Dy 0.125 0.625 0.000
3 Dy 0.375 0.375 0.500
4 Dy 0.375 0.875 0.000
5 Dy 0.625 0.125 0.000
6 Dy 0.625 0.625 0.500
7 Dy 0.875 0.375 0.000
8 Dy 0.875 0.875 0.500
9 Ho 0.000 0.000 0.000
10 Ho 0.250 0.750 0.500
11 Ho 0.750 0.250 0.500
12 Er 0.500 0.500 0.000


Record 2
Dy4Ho8Er3: optimized geometry, GGA-PBE.

a = 9.178 Å, b = 9.178 Å, c = 6.666 Å
α = 111.25°, β = 111.25°, γ = 87.79°
Sites, in units of the cell vectors:
1 Dy 0.000 0.000 0.000
2 Dy 0.000 0.000 0.500
3 Dy 0.000 0.500 0.000
4 Dy 0.500 0.000 0.000
5 Ho 0.252 0.748 0.000
6 Ho 0.266 0.266 0.509
7 Ho 0.268 0.268 0.032
8 Ho 0.360 0.640 0.500
9 Ho 0.640 0.360 0.500
10 Ho 0.732 0.732 0.968
11 Ho 0.734 0.734 0.491
12 Ho 0.748 0.252 0.000
13 Er 0.000 0.500 0.500
14 Er 0.500 0.000 0.500
15 Er 0.500 0.500 0.000

Results
Energy above the lowest structure with this stoichiometry (meV/atom): 261


Record 3
DyHo7Er3: optimized geometry, GGA-PBE.

a = 8.327 Å, b = 8.327 Å, c = 8.327 Å
α = 139.78°, β = 96.79°, γ = 96.79°
Sites, in units of the cell vectors:
1 Dy 0.000 0.000 0.000
2 Ho 0.000 0.500 0.500
3 Ho 0.100 0.800 0.300
4 Ho 0.292 0.292 0.000
5 Ho 0.500 0.200 0.300
6 Ho 0.500 0.800 0.700
7 Ho 0.708 0.708 0.000
8 Ho 0.900 0.200 0.700
9 Er 0.294 0.500 0.794
10 Er 0.500 0.000 0.500
11 Er 0.706 0.500 0.206

Results
Energy above the lowest structure with this stoichiometry (meV/atom): 126


Record 4
DyHo8Er5: optimized geometry, GGA-PBE.

a = 8.344 Å, b = 8.344 Å, c = 8.344 Å
α = 111.07°, β = 111.07°, γ = 106.33°
Sites, in units of the cell vectors:
1 Dy 0.000 0.000 0.000
2 Ho 0.087 0.670 0.762
3 Ho 0.170 0.276 0.754
4 Ho 0.330 0.092 0.416
5 Ho 0.522 0.416 0.246
6 Ho 0.584 0.830 0.106
7 Ho 0.675 0.913 0.584
8 Ho 0.724 0.478 0.894
9 Ho 0.908 0.325 0.238
10 Er 0.213 0.615 0.179
11 Er 0.385 0.564 0.598
12 Er 0.436 0.035 0.821
13 Er 0.750 0.250 0.500
14 Er 0.965 0.787 0.402


Record 5
Dy2HoEr: optimized geometry, GGA-PBE.

a = 11.647 Å, b = 11.647 Å, c = 11.647 Å
α = 17.39°, β = 17.39°, γ = 17.39°
Sites, in units of the cell vectors:
1 Dy 0.250 0.250 0.250
2 Dy 0.750 0.750 0.750
3 Ho 0.500 0.500 0.500
4 Er 0.000 0.000 0.000

Results
Energy above the lowest structure with this stoichiometry (meV/atom): 11


Record 6
Dy2Ho15Er2: optimized geometry, GGA-PBE.

a = 8.641 Å, b = 8.641 Å, c = 8.641 Å
α = 79.44°, β = 79.44°, γ = 79.44°
Sites, in units of the cell vectors:
1 Dy 0.178 0.178 0.178
2 Dy 0.822 0.822 0.822
3 Ho 0.000 0.500 0.500
4 Ho 0.129 0.129 0.649
5 Ho 0.129 0.649 0.129
6 Ho 0.201 0.500 0.799
7 Ho 0.201 0.799 0.500
8 Ho 0.351 0.871 0.871
9 Ho 0.500 0.000 0.500
10 Ho 0.500 0.201 0.799
11 Ho 0.500 0.500 0.000
12 Ho 0.500 0.799 0.201
13 Ho 0.649 0.129 0.129
14 Ho 0.799 0.201 0.500
15 Ho 0.799 0.500 0.201
16 Ho 0.871 0.351 0.871
17 Ho 0.871 0.871 0.351
18 Er 0.404 0.404 0.404
19 Er 0.596 0.596 0.596


Record 7
Dy4Ho6Er19: optimized geometry, GGA-PBE.

a = 10.661 Å, b = 10.661 Å, c = 10.661 Å
α = 109.47°, β = 109.47°, γ = 109.47°
Sites, in units of the cell vectors:
1 Dy 0.000 0.000 0.643
2 Dy 0.000 0.643 0.000
3 Dy 0.357 0.357 0.357
4 Dy 0.643 0.000 0.000
5 Ho 0.128 0.628 0.500
6 Ho 0.372 0.500 0.872
7 Ho 0.500 0.128 0.628
8 Ho 0.500 0.872 0.372
9 Ho 0.628 0.500 0.128
10 Ho 0.872 0.372 0.500
11 Er 0.000 0.000 0.000
12 Er 0.000 0.262 0.262
13 Er 0.000 0.738 0.738
14 Er 0.015 0.802 0.340
15 Er 0.198 0.213 0.539
16 Er 0.213 0.539 0.198
17 Er 0.262 0.000 0.262
18 Er 0.262 0.262 0.000
19 Er 0.325 0.787 0.985
20 Er 0.340 0.015 0.802
21 Er 0.461 0.675 0.660
22 Er 0.539 0.198 0.213
23 Er 0.660 0.461 0.675
24 Er 0.675 0.660 0.461
25 Er 0.738 0.000 0.738
26 Er 0.738 0.738 0.000
27 Er 0.787 0.985 0.325
28 Er 0.802 0.340 0.015
29 Er 0.985 0.325 0.787


Record 8
Dy3Ho9Er2: optimized geometry, GGA-PBE.

a = 6.411 Å, b = 6.462 Å, c = 11.413 Å
α = 104.72°, β = 103.79°, γ = 94.79°
Sites, in units of the cell vectors:
1 Dy 0.000 0.000 0.000
2 Dy 0.128 0.811 0.492
3 Dy 0.796 0.166 0.505
4 Ho 0.121 0.189 0.786
5 Ho 0.343 0.029 0.291
6 Ho 0.350 0.360 0.581
7 Ho 0.530 0.146 0.052
8 Ho 0.569 0.587 0.393
9 Ho 0.577 0.931 0.726
10 Ho 0.795 0.810 0.206
11 Ho 0.989 0.362 0.278
12 Ho 0.998 0.645 0.722
13 Er 0.236 0.560 0.069
14 Er 0.683 0.484 0.895


Record 9
Dy5Ho3Er4: optimized geometry, GGA-PBE.

a = 8.477 Å, b = 8.477 Å, c = 9.176 Å
α = 114.92°, β = 114.92°, γ = 40.06°
Sites, in units of the cell vectors:
1 Dy 0.000 0.000 0.000
2 Dy 0.327 0.327 0.614
3 Dy 0.425 0.425 0.299
4 Dy 0.575 0.575 0.701
5 Dy 0.673 0.673 0.386
6 Ho 0.209 0.209 0.230
7 Ho 0.500 0.500 0.000
8 Ho 0.791 0.791 0.770
9 Er 0.080 0.080 0.439
10 Er 0.214 0.214 0.878
11 Er 0.786 0.786 0.122
12 Er 0.920 0.920 0.561

Results
Energy above the lowest structure with this stoichiometry (meV/atom): 228


Record 10
DyHoEr2: optimized geometry, GGA-PBE.

a = 6.212 Å, b = 7.188 Å, c = 11.148 Å
α = 90.00°, β = 90.00°, γ = 90.00°
Sites, in units of the cell vectors:
1 Dy 0.167 0.000 0.125
2 Dy 0.167 0.000 0.625
3 Dy 0.833 0.000 0.375
4 Dy 0.833 0.000 0.875
5 Ho 0.333 0.251 0.375
6 Ho 0.333 0.749 0.875
7 Ho 0.667 0.251 0.125
8 Ho 0.667 0.749 0.625
9 Er 0.167 0.500 0.125
10 Er 0.167 0.500 0.625
11 Er 0.333 0.251 0.875
12 Er 0.333 0.749 0.375
13 Er 0.667 0.251 0.625
14 Er 0.667 0.749 0.125
15 Er 0.833 0.500 0.375
16 Er 0.833 0.500 0.875

Results
Energy above the lowest structure with this stoichiometry (meV/atom): 3


Record 11
Dy2HoEr: optimized geometry, GGA-PBE.

a = 11.464 Å, b = 6.007 Å, c = 7.182 Å
α = 90.00°, β = 90.00°, γ = 90.00°
Sites, in units of the cell vectors:
1 Dy 0.122 0.165 0.000
2 Dy 0.122 0.665 0.250
3 Dy 0.378 0.165 0.750
4 Dy 0.378 0.665 0.500
5 Dy 0.622 0.335 0.000
6 Dy 0.622 0.835 0.250
7 Dy 0.878 0.335 0.750
8 Dy 0.878 0.835 0.500
9 Ho 0.122 0.165 0.500
10 Ho 0.378 0.665 0.000
11 Ho 0.622 0.335 0.500
12 Ho 0.878 0.835 0.000
13 Er 0.121 0.665 0.750
14 Er 0.379 0.165 0.250
15 Er 0.621 0.835 0.750
16 Er 0.879 0.335 0.250

Results
Energy above the lowest structure with this stoichiometry (meV/atom): 40


Record 12
Dy3Ho2Er4: optimized geometry, GGA-PBE.

a = 7.859 Å, b = 7.859 Å, c = 7.858 Å
α = 107.28°, β = 107.28°, γ = 36.80°
Sites, in units of the cell vectors:
1 Dy 0.000 0.000 0.000
2 Dy 0.111 0.111 0.667
3 Dy 0.889 0.889 0.333
4 Ho 0.444 0.444 0.667
5 Ho 0.556 0.556 0.333
6 Er 0.222 0.222 0.333
7 Er 0.333 0.333 0.000
8 Er 0.667 0.667 0.000
9 Er 0.778 0.778 0.667

Results
Energy above the lowest structure with this stoichiometry (meV/atom): 0


Number 1: density 7.331 g cm⁻³, formation energy from the elements 8.7 eV/f.u.. Number 2: density 8.462 g cm⁻³, formation energy from the elements 6.1 eV/f.u.. Number 3: density 8.625 g cm⁻³, formation energy from the elements 3.0 eV/f.u.. Number 4: density 8.627 g cm⁻³, formation energy from the elements 3.6 eV/f.u.. Number 5: density 8.859 g cm⁻³, formation energy from the elements 0.1 eV/f.u.. Number 6: density 8.447 g cm⁻³, formation energy from the elements 5.5 eV/f.u.. Number 7: density 8.577 g cm⁻³, formation energy from the elements 11.4 eV/f.u.. Number 8: density 8.726 g cm⁻³, formation energy from the elements 1.5 eV/f.u.. Number 9: density 8.653 g cm⁻³, formation energy from the elements 3.0 eV/f.u.. Number 10: density 8.834 g cm⁻³, formation energy from the elements 0.0 eV/f.u.. Number 11: density 8.827 g cm⁻³, formation energy from the elements 0.2 eV/f.u.. Number 12: density 8.940 g cm⁻³, formation energy from the elements 0.2 eV/f.u..